VASP calculation (PBE-GGA) on LiSc2 after structural relaxation.

Unit cell a=5.8016 b=5.8016 c=5.8016 alpha=99.90 beta=99.90 gamma=130.99
Closest atoms and distances in Å follow each position.
Sites, in units of the cell vectors:
Li 0.2500 0.2500 0.0000  2 Li 2.41
Li 0.7500 0.7500 0.0000  2 Li 2.41
Sc 0.8529 0.3529 0.2058  4 Li 3.10, 7 Sc 3.11-3.26
Sc 0.1471 0.6471 0.7942  4 Li 3.10, 7 Sc 3.11-3.26
Sc 0.6471 0.8529 0.5000  4 Li 3.10, 7 Sc 3.11-3.26
Sc 0.3529 0.1471 0.5000  4 Li 3.10, 7 Sc 3.11-3.26

Calculated values
The formation energy is 0.198 eV/atom. Its calculated volume is 22.4 A^3/atom. The value obtained for the excess energy over the best structure of this formula in the dataset is 97 meV/atom. Its space-group type is No. 140.

***

VASP calculation (PBE-GGA) on LiSc2 after structural relaxation.

Unit cell a=3.2059 b=3.2059 c=7.9369 alpha=90.00 beta=90.00 gamma=120.00
Closest atoms and distances in Å follow each position.
Sites, in units of the cell vectors:
Sc 0.3333 0.6667 0.3383  9 Sc 3.16-3.21, 3 Li 3.26
Sc 0.6667 0.3333 0.6617  9 Sc 3.16-3.21, 3 Li 3.26
Li 0.0000 0.0000 0.0000  6 Li 3.21, 6 Sc 3.26

Calculated values
The formation energy is 0.139 eV/atom. Its calculated volume is 23.5 A^3/atom. The value obtained for the excess energy over the best structure of this formula in the dataset is 39 meV/atom. Its space-group type is No. 164.

***

VASP calculation (PBE-GGA) on Li5Sc after structural relaxation.

Unit cell a=5.5562 b=5.5562 c=5.5562 alpha=60.00 beta=60.00 gamma=60.00
Closest atoms and distances in Å follow each position.
Sites, in units of the cell vectors:
Li 0.1255 0.6248 0.6248  6 Li 2.77-2.78
Li 0.6248 0.1255 0.6248  6 Li 2.77-2.78
Li 0.2500 0.2500 0.2500  12 Li 3.26, 4 Sc 3.40
Li 0.6248 0.6248 0.6248  6 Li 2.77-2.78
Li 0.6248 0.6248 0.1255  6 Li 2.77-2.78
Sc 0.0000 0.0000 0.0000  16 Li 3.26-3.40

Calculated values
The formation energy is 0.163 eV/atom. Its calculated volume is 20.2 A^3/atom. The value obtained for the excess energy over the best structure of this formula in the dataset is 49 meV/atom. Its space-group type is No. 216.

***

VASP calculation (PBE-GGA) on LiSc2 after structural relaxation.

Unit cell a=3.2793 b=3.2793 c=6.7619 alpha=104.03 beta=104.03 gamma=90.00
Closest atoms and distances in Å follow each position.
Sites, in units of the cell vectors:
Sc 0.3361 0.3361 0.6723  4 Li 3.12, 8 Sc 3.19-3.28
Sc 0.6639 0.6639 0.3277  4 Li 3.12, 8 Sc 3.19-3.28
Li 0.0000 0.0000 0.0000  8 Sc 3.12, 4 Li 3.28

Calculated values
The formation energy is 0.127 eV/atom. Its calculated volume is 22.8 A^3/atom. The value obtained for the excess energy over the best structure of this formula in the dataset is 26 meV/atom. Its space-group type is No. 139.

***

VASP calculation (PBE-GGA) on Li2Sc after structural relaxation.

Unit cell a=8.1815 b=8.1815 c=5.1079 alpha=90.00 beta=90.00 gamma=157.64
Closest atoms and distances in Å follow each position.
Sites, in units of the cell vectors:
Sc 0.2759 0.7241 0.7500  6 Sc 3.12-3.17, 6 Li 3.16-3.18
Sc 0.7241 0.2759 0.2500  6 Sc 3.12-3.17, 6 Li 3.16-3.18
Li 0.6055 0.3945 0.7500  8 Li 3.00-3.17, 4 Sc 3.16-3.18
Li 0.9468 0.0532 0.7500  10 Li 3.00-3.17, 2 Sc 3.17
Li 0.3945 0.6055 0.2500  8 Li 3.00-3.17, 4 Sc 3.16-3.18
Li 0.0532 0.9468 0.2500  10 Li 3.00-3.17, 2 Sc 3.17

Calculated values
The formation energy is 0.132 eV/atom. Its calculated volume is 21.7 A^3/atom. The value obtained for the excess energy over the best structure of this formula in the dataset is 0 meV/atom. Its space-group type is No. 63.

***

VASP calculation (PBE-GGA) on LiSc2 after structural relaxation.

Unit cell a=4.8819 b=6.1114 c=8.8825 alpha=90.00 beta=90.00 gamma=90.00
Closest atoms and distances in Å follow each position.
Sites, in units of the cell vectors:
Sc 0.7500 0.8411 0.5697  4 Li 2.85-2.99
Sc 0.2500 0.0262 0.7895  3 Li 2.92-2.97, 2 Sc 3.14
Sc 0.7500 0.3411 0.9303  4 Li 2.85-2.99
Sc 0.2500 0.1589 0.4303  4 Li 2.85-2.99
Sc 0.7500 0.9738 0.2105  3 Li 2.92-2.97, 2 Sc 3.14
Sc 0.2500 0.5262 0.7105  3 Li 2.92-2.97, 2 Sc 3.14
Sc 0.7500 0.4738 0.2895  3 Li 2.92-2.97, 2 Sc 3.14
Sc 0.2500 0.6589 0.0697  4 Li 2.85-2.99
Li 0.7500 0.8054 0.9032  7 Sc 2.85-2.99
Li 0.2500 0.1946 0.0968  7 Sc 2.85-2.99
Li 0.7500 0.3054 0.5968  7 Sc 2.85-2.99
Li 0.2500 0.6946 0.4032  7 Sc 2.85-2.99

Calculated values
The formation energy is 0.163 eV/atom. Its calculated volume is 22.1 A^3/atom. The value obtained for the excess energy over the best structure of this formula in the dataset is 62 meV/atom. Its space-group type is No. 62.

***

VASP calculation (PBE-GGA) on Li5Sc after structural relaxation.

Unit cell a=5.3201 b=5.3201 c=4.9254 alpha=90.00 beta=90.00 gamma=120.00
Closest atoms and distances in Å follow each position.
Sites, in units of the cell vectors:
Li 0.6349 0.0000 0.0000  8 Li 2.94-2.99, 2 Sc 3.14
Li 0.6667 0.3333 0.5000  9 Li 2.99-3.07, 3 Sc 3.07
Li 0.0000 0.6349 0.0000  8 Li 2.94-2.99, 2 Sc 3.14
Li 0.3651 0.3651 0.0000  8 Li 2.94-2.99, 2 Sc 3.14
Li 0.3333 0.6667 0.5000  9 Li 2.99-3.07, 3 Sc 3.07
Sc 0.0000 0.0000 0.5000  12 Li 3.07-3.14

Calculated values
The formation energy is 0.156 eV/atom. Its calculated volume is 20.1 A^3/atom. The value obtained for the excess energy over the best structure of this formula in the dataset is 43 meV/atom. Its space-group type is No. 189.

***

VASP calculation (PBE-GGA) on LiSc5 after structural relaxation.

Unit cell a=6.0078 b=6.0078 c=6.0078 alpha=60.00 beta=60.00 gamma=60.00
Closest atoms and distances in Å follow each position.
Sites, in units of the cell vectors:
Li 0.0000 0.0000 0.0000  16 Sc 3.53-3.68
Sc 0.6233 0.1302 0.6233  6 Sc 2.96-3.05
Sc 0.2500 0.2500 0.2500  12 Sc 3.52, 4 Li 3.68
Sc 0.6233 0.6233 0.1302  6 Sc 2.96-3.05
Sc 0.1302 0.6233 0.6233  6 Sc 2.96-3.05
Sc 0.6233 0.6233 0.6233  6 Sc 2.96-3.05

Calculated values
The formation energy is 0.340 eV/atom. Its calculated volume is 25.6 A^3/atom. The value obtained for the excess energy over the best structure of this formula in the dataset is 260 meV/atom. Its space-group type is No. 216.